(1)
A geometry-optimized Sr3Tm2ThBi6 structure, computed with PBE-GGA. Values from VASP.

Values from the calculation:
* formation energy from the elements: -8.96 eV/f.u.
* raw total energy: -4.472 eV per atom

Cell and atoms, written as Quantum ESPRESSO input:
```
&SYSTEM
  ibrav = 0, nat = 12, ntyp = 4
/
ATOMIC_SPECIES
Sr 87.62 Sr.upf
Tm 168.93 Tm.upf
Th 232.04 Th.upf
Bi 208.98 Bi.upf
CELL_PARAMETERS angstrom
3.991 -6.899 0.000
3.991 6.899 0.000
-2.648 0.000 7.848
ATOMIC_POSITIONS crystal
Sr 0.000 0.000 0.000
Sr 0.336 0.664 0.000
Sr 0.664 0.336 0.000
Tm 0.167 0.833 0.500
Tm 0.833 0.167 0.500
Th 0.500 0.500 0.500
Bi 0.085 0.424 0.274
Bi 0.234 0.234 0.724
Bi 0.424 0.085 0.274
Bi 0.576 0.915 0.726
Bi 0.766 0.766 0.276
Bi 0.915 0.576 0.726
```


(2)
A geometry-optimized Sr4TmTh3Bi8 structure, computed with PBE-GGA. Values from VASP.

Values from the calculation:
* formation energy from the elements: -12.33 eV/f.u.
* raw total energy: -4.802 eV per atom

Cell and atoms, written as Quantum ESPRESSO input:
```
&SYSTEM
  ibrav = 0, nat = 16, ntyp = 4
/
ATOMIC_SPECIES
Sr 87.62 Sr.upf
Tm 168.93 Tm.upf
Th 232.04 Th.upf
Bi 208.98 Bi.upf
CELL_PARAMETERS angstrom
4.672 2.697 7.812
-4.672 2.697 7.812
0.000 -5.394 7.812
ATOMIC_POSITIONS crystal
Sr 0.000 0.000 0.000
Sr 0.000 0.500 0.500
Sr 0.500 0.000 0.500
Sr 0.500 0.500 0.000
Tm 0.500 0.500 0.500
Th 0.000 0.000 0.500
Th 0.000 0.500 0.000
Th 0.500 0.000 0.000
Bi 0.244 0.244 0.244
Bi 0.248 0.741 0.741
Bi 0.259 0.259 0.752
Bi 0.259 0.752 0.259
Bi 0.741 0.248 0.741
Bi 0.741 0.741 0.248
Bi 0.752 0.259 0.259
Bi 0.756 0.756 0.756
```


(3)
A geometry-optimized Sr3TmTh2Bi6 structure, computed with PBE-GGA. Values from VASP.

Values from the calculation:
* formation energy from the elements: -9.19 eV/f.u.
* raw total energy: -4.736 eV per atom

Cell and atoms, written as Quantum ESPRESSO input:
```
&SYSTEM
  ibrav = 0, nat = 12, ntyp = 4
/
ATOMIC_SPECIES
Sr 87.62 Sr.upf
Tm 168.93 Tm.upf
Th 232.04 Th.upf
Bi 208.98 Bi.upf
CELL_PARAMETERS angstrom
4.029 -6.984 0.000
4.029 6.984 0.000
-2.693 0.000 7.830
ATOMIC_POSITIONS crystal
Sr 0.000 0.000 0.000
Sr 0.331 0.669 0.000
Sr 0.669 0.331 0.000
Tm 0.500 0.500 0.500
Th 0.166 0.834 0.500
Th 0.834 0.166 0.500
Bi 0.096 0.424 0.271
Bi 0.249 0.249 0.731
Bi 0.424 0.096 0.271
Bi 0.576 0.904 0.729
Bi 0.751 0.751 0.269
Bi 0.904 0.576 0.729
```


(4)
A geometry-optimized Sr4YTh3Bi8 structure, computed with PBE-GGA. Values from VASP.

Values from the calculation:
* formation energy from the elements: -12.58 eV/f.u.
* raw total energy: -4.942 eV per atom

Cell and atoms, written as Quantum ESPRESSO input:
```
&SYSTEM
  ibrav = 0, nat = 16, ntyp = 4
/
ATOMIC_SPECIES
Sr 87.62 Sr.upf
Y 88.91 Y.upf
Th 232.04 Th.upf
Bi 208.98 Bi.upf
CELL_PARAMETERS angstrom
4.682 2.703 7.808
-4.682 2.703 7.808
0.000 -5.406 7.808
ATOMIC_POSITIONS crystal
Sr 0.000 0.000 0.000
Sr 0.000 0.500 0.500
Sr 0.500 0.000 0.500
Sr 0.500 0.500 0.000
Y 0.500 0.500 0.500
Th 0.000 0.000 0.500
Th 0.000 0.500 0.000
Th 0.500 0.000 0.000
Bi 0.244 0.244 0.244
Bi 0.246 0.742 0.742
Bi 0.258 0.258 0.754
Bi 0.258 0.754 0.258
Bi 0.742 0.246 0.742
Bi 0.742 0.742 0.246
Bi 0.754 0.258 0.258
Bi 0.756 0.756 0.756
```


(5)
A geometry-optimized SrTiBi3 structure, computed with PBE-GGA. Values from VASP.

Values from the calculation:
* formation energy from the elements: -1.17 eV/f.u.
* raw total energy: -4.479 eV per atom
* ΔE to the lowest computed polymorph: 171 meV per atom

Cell and atoms, written as Quantum ESPRESSO input:
```
&SYSTEM
  ibrav = 0, nat = 5, ntyp = 3
/
ATOMIC_SPECIES
Sr 87.62 Sr.upf
Ti 47.87 Ti.upf
Bi 208.98 Bi.upf
CELL_PARAMETERS angstrom
5.505 0.000 0.000
0.000 5.505 0.000
0.000 0.000 5.505
ATOMIC_POSITIONS crystal
Sr 0.000 0.000 0.000
Ti 0.500 0.500 0.500
Bi 0.000 0.500 0.500
Bi 0.500 0.000 0.500
Bi 0.500 0.500 0.000
```


(6)
A geometry-optimized Sr3TiBi structure, computed with PBE-GGA. Values from VASP.

Values from the calculation:
* formation energy from the elements: 2.45 eV/f.u.
* raw total energy: -2.874 eV per atom
* ΔE to the lowest computed polymorph: 0 meV per atom

Cell and atoms, written as Quantum ESPRESSO input:
```
&SYSTEM
  ibrav = 0, nat = 5, ntyp = 3
/
ATOMIC_SPECIES
Sr 87.62 Sr.upf
Ti 47.87 Ti.upf
Bi 208.98 Bi.upf
CELL_PARAMETERS angstrom
6.346 0.000 0.000
0.000 6.346 0.000
0.000 0.000 6.346
ATOMIC_POSITIONS crystal
Sr 0.000 0.000 0.500
Sr 0.000 0.500 0.000
Sr 0.500 0.000 0.000
Ti 0.500 0.500 0.500
Bi 0.000 0.000 0.000
```